Material: LiFe2Ir
Method: DFT, GGA-PBE
State: relaxed

Cell lengths 2.5617, 4.1594, 4.8796 Å; angles 90.00, 102.08, 90.00 degrees
Atoms (fractional coordinates):
Li: 0.0000 0.0000 0.0000
Fe: 0.2056 0.5000 0.7493
Fe: 0.7944 0.5000 0.2507
Ir: 0.5000 0.0000 0.5000

Summary:
Total energy = -27.407 eV/cell
Theoretical density = 10.15 Mg/m³
Symmetry = P2/m (10)
D(E_F) = 0.808 states/eV per atom